{
  "formula": "KLiHgBi2",
  "functional": "PBE",
  "state": "optimized geometry",
  "cell": [[5.278, 0.000, 0.000], [0.000, 5.278, 0.000], [0.000, 0.000, 5.596]],
  "species": ["K", "Li", "Hg", "Bi", "Bi"],
  "frac_coords": [[0.000, 0.000, 0.000], [0.500, 0.500, 0.500], [0.500, 0.500, 0.000], [0.000, 0.500, 0.500], [0.500, 0.000, 0.500]],
  "sg": "No. 123",
  "m_tot_mub_per_cell": 0.00,
  "ef_mev_per_atom": -127,
  "total_energy_ev_per_atom": -2.342
}